Record 1
Material: NpBeCdO6
Method: DFT, GGA-PBE
State: relaxed

Cell lengths 5.0785, 5.0785, 9.8103 Å; angles 90.00, 90.00, 120.00 degrees
Positions (direct):
Np: 0.3333 0.6667 0.2500
Np: 0.6667 0.3333 0.7500
Be: 0.3333 0.6667 0.7500
Be: 0.6667 0.3333 0.2500
Cd: 0.0000 0.0000 0.0000
Cd: 0.0000 0.0000 0.5000
O: 0.0203 0.3705 0.6440
O: 0.0203 0.6498 0.8560
O: 0.3502 0.3705 0.8560
O: 0.3502 0.9797 0.6440
O: 0.3705 0.0203 0.1440
O: 0.3705 0.3502 0.3560
O: 0.6295 0.6498 0.6440
O: 0.6295 0.9797 0.8560
O: 0.6498 0.0203 0.3560
O: 0.6498 0.6295 0.1440
O: 0.9797 0.3502 0.1440
O: 0.9797 0.6295 0.3560

Summary:
Formation energy without anion corrections (kJ/mol of formula units): -1590.5
Energy (eV/atom): -7.09

---

Record 2
Material: NpBeCdO5
Method: DFT, GGA-PBE
State: relaxed

Cell lengths 5.5421, 5.5421, 7.8260 Å; angles 105.22, 105.22, 104.60 degrees
Positions (direct):
Np: 0.0000 0.5000 0.0000
Np: 0.5000 0.0000 0.5000
Be: 0.0610 0.9390 0.7500
Be: 0.9390 0.0610 0.2500
Cd: 0.3997 0.6003 0.7500
Cd: 0.6003 0.3997 0.2500
O: 0.1550 0.7926 0.9037
O: 0.1681 0.2658 0.8608
O: 0.2074 0.8450 0.5963
O: 0.2658 0.1681 0.3608
O: 0.3511 0.6489 0.2500
O: 0.6489 0.3511 0.7500
O: 0.7342 0.8319 0.6392
O: 0.7926 0.1550 0.4037
O: 0.8319 0.7342 0.1392
O: 0.8450 0.2074 0.0963

Summary:
Formation energy without anion corrections (kJ/mol of formula units): -1741.9
Energy (eV/atom): -7.55

---

Record 3
Material: Be2CdO
Method: DFT, GGA-PBE
State: relaxed

Cell lengths 5.0905, 5.0905, 5.0905 Å; angles 119.31, 119.31, 91.21 degrees
Positions (direct):
Be: 0.3750 0.2313 0.3563
Be: 0.7687 0.1250 0.1437
Be: 0.8750 0.0187 0.6437
Be: 0.9813 0.6250 0.8563
Cd: 0.2500 0.7500 0.5000
Cd: 0.5000 0.5000 0.0000
O: 0.0000 0.0000 0.0000
O: 0.7500 0.2500 0.5000

Summary:
Formation energy without anion corrections (kJ/mol of formula units): -322.7
Energy (eV/atom): -4.17

---

Record 4
Material: BeCd2O
Method: DFT, GGA-PBE
State: relaxed

Cell lengths 5.7766, 5.7766, 5.7766 Å; angles 116.89, 116.89, 95.47 degrees
Positions (direct):
Be: 0.0000 0.0000 0.0000
Be: 0.7500 0.2500 0.5000
Cd: 0.1568 0.6250 0.0318
Cd: 0.3750 0.4068 0.5318
Cd: 0.5932 0.1250 0.9682
Cd: 0.8750 0.8432 0.4682
O: 0.2500 0.7500 0.5000
O: 0.5000 0.5000 0.0000

Summary:
Formation energy without anion corrections (kJ/mol of formula units): -10.6
Energy (eV/atom): -2.66

---

Record 5
Material: BeCd2O
Method: DFT, GGA-PBE
State: relaxed

Cell lengths 4.4316, 4.4316, 4.4316 Å; angles 60.00, 60.00, 60.00 degrees
Positions (direct):
Be: 0.0000 0.0000 0.0000
Cd: 0.2500 0.2500 0.2500
Cd: 0.7500 0.7500 0.7500
O: 0.5000 0.5000 0.5000

Summary:
Formation energy without anion corrections (kJ/mol of formula units): 154.7
Energy (eV/atom): -2.23

---

Record 6
Material: Be2CdO
Method: DFT, GGA-PBE
State: relaxed

Cell lengths 4.1276, 4.1276, 4.1276 Å; angles 60.00, 60.00, 60.00 degrees
Positions (direct):
Be: 0.2500 0.2500 0.2500
Be: 0.7500 0.7500 0.7500
Cd: 0.0000 0.0000 0.0000
O: 0.5000 0.5000 0.5000

Summary:
Formation energy without anion corrections (kJ/mol of formula units): 274.7
Energy (eV/atom): -2.62

---

Record 7
Material: BeCdO3
Method: DFT, GGA-PBE
State: relaxed

Cell lengths 4.0706, 4.0706, 4.0706 Å; angles 90.00, 90.00, 90.00 degrees
Positions (direct):
Be: 0.0000 0.0000 0.0000
Cd: 0.5000 0.5000 0.5000
O: 0.0000 0.5000 0.5000
O: 0.5000 0.0000 0.5000
O: 0.5000 0.5000 0.0000

Summary:
Formation energy without anion corrections (kJ/mol of formula units): 267.5
Energy (eV/atom): -3.35

---

Record 8
Material: BeCd3O
Method: DFT, GGA-PBE
State: relaxed

Cell lengths 4.5840, 4.5840, 4.5840 Å; angles 90.00, 90.00, 90.00 degrees
Positions (direct):
Be: 0.0000 0.0000 0.0000
Cd: 0.0000 0.5000 0.5000
Cd: 0.5000 0.0000 0.5000
Cd: 0.5000 0.5000 0.0000
O: 0.5000 0.5000 0.5000

Summary:
Formation energy without anion corrections (kJ/mol of formula units): 125.6
Energy (eV/atom): -2.03

---

Record 9
Material: BeCdO3
Method: DFT, GGA-PBE
State: relaxed

Cell lengths 3.5614, 3.5614, 3.5614 Å; angles 90.00, 90.00, 90.00 degrees
Positions (direct):
Be: 0.0000 0.0000 0.0000
Cd: 0.5000 0.5000 0.5000
O: 0.0000 0.0000 0.5000
O: 0.0000 0.5000 0.0000
O: 0.5000 0.0000 0.0000

Summary:
Formation energy without anion corrections (kJ/mol of formula units): -407.6
Energy (eV/atom): -4.75

---

Record 10
Material: BeCdPO2
Method: DFT, GGA-PBE
State: relaxed

Cell lengths 3.5582, 3.5582, 5.0117 Å; angles 90.00, 90.00, 90.00 degrees
Positions (direct):
Be: 0.0000 0.0000 0.0000
Cd: 0.5000 0.5000 0.5000
P: 0.0000 0.0000 0.5000
O: 0.0000 0.5000 0.0000
O: 0.5000 0.0000 0.0000

Summary:
Formation energy without anion corrections (kJ/mol of formula units): -96.8
Energy (eV/atom): -4.19

---

Record 11
Material: BeCdPO2
Method: DFT, GGA-PBE
State: relaxed

Cell lengths 3.9870, 3.9870, 5.3540 Å; angles 90.00, 90.00, 90.00 degrees
Positions (direct):
Be: 0.0000 0.0000 0.0000
Cd: 0.5000 0.5000 0.5000
P: 0.5000 0.5000 0.0000
O: 0.0000 0.5000 0.5000
O: 0.5000 0.0000 0.5000

Summary:
Formation energy without anion corrections (kJ/mol of formula units): 411.8
Energy (eV/atom): -3.14

---

Record 12
Material: PaBeCd2O6
Method: DFT, GGA-PBE
State: relaxed

Cell lengths 6.2902, 6.2902, 6.2902 Å; angles 51.42, 51.42, 51.42 degrees
Positions (direct):
Pa: 0.0000 0.0000 0.0000
Be: 0.4306 0.4306 0.4306
Cd: 0.1998 0.1998 0.1998
Cd: 0.7087 0.7087 0.7087
O: 0.1633 0.3737 0.7411
O: 0.2852 0.9215 0.6160
O: 0.3737 0.7411 0.1633
O: 0.6160 0.2852 0.9215
O: 0.7411 0.1633 0.3737
O: 0.9215 0.6160 0.2852

Summary:
Formation energy without anion corrections (kJ/mol of formula units): -1903.6
Energy (eV/atom): -6.45

---

Record 13
Material: PaBeCdO4
Method: DFT, GGA-PBE
State: relaxed

Cell lengths 6.3026, 6.3026, 6.3026 Å; angles 124.06, 112.10, 93.65 degrees
Positions (direct):
Pa: 0.0000 0.0000 0.0000
Pa: 0.5000 0.0000 0.5000
Be: 0.3902 0.6402 0.7500
Be: 0.6098 0.3598 0.2500
Cd: 0.0000 0.0000 0.5000
Cd: 0.0000 0.5000 0.0000
O: 0.2703 0.2824 0.5121
O: 0.2703 0.7583 0.9879
O: 0.2957 0.2438 0.0520
O: 0.3082 0.7562 0.5520
O: 0.6918 0.2438 0.4480
O: 0.7043 0.7562 0.9480
O: 0.7297 0.2417 0.0121
O: 0.7297 0.7176 0.4879

Summary:
Formation energy without anion corrections (kJ/mol of formula units): -1520.0
Energy (eV/atom): -7.10

---

Record 14
Material: Be2Cd2PbO6
Method: DFT, GGA-PBE
State: relaxed

Cell lengths 5.3825, 5.3825, 5.6916 Å; angles 90.00, 90.00, 120.00 degrees
Positions (direct):
Be: 0.3333 0.6667 0.3099
Be: 0.6667 0.3333 0.6901
Cd: 0.3333 0.6667 0.8468
Cd: 0.6667 0.3333 0.1532
Pb: 0.0000 0.0000 0.5000
O: 0.0677 0.7021 0.2752
O: 0.2979 0.3656 0.2752
O: 0.3656 0.0677 0.7248
O: 0.6344 0.9323 0.2752
O: 0.7021 0.6344 0.7248
O: 0.9323 0.2979 0.7248

Summary:
Formation energy without anion corrections (kJ/mol of formula units): -1516.5
Energy (eV/atom): -5.31

---

Record 15
Material: BeCdPbO4
Method: DFT, GGA-PBE
State: relaxed

Cell lengths 6.2366, 6.2366, 6.2366 Å; angles 121.73, 117.64, 90.58 degrees
Positions (direct):
Be: 0.3983 0.1483 0.2500
Be: 0.6017 0.8517 0.7500
Cd: 0.0000 0.0000 0.5000
Cd: 0.0000 0.5000 0.0000
Pb: 0.0000 0.5000 0.5000
Pb: 0.5000 0.5000 0.0000
O: 0.2626 0.2523 0.4897
O: 0.2626 0.7729 0.0103
O: 0.2744 0.2480 0.0264
O: 0.2784 0.7520 0.5264
O: 0.7216 0.2480 0.4736
O: 0.7256 0.7520 0.9736
O: 0.7374 0.2271 0.9897
O: 0.7374 0.7477 0.5103

Summary:
Formation energy without anion corrections (kJ/mol of formula units): -797.8
Energy (eV/atom): -5.21

---

Record 16
Material: BeCdPdO5
Method: DFT, GGA-PBE
State: relaxed

Cell lengths 5.4700, 5.4700, 7.0982 Å; angles 104.98, 104.98, 107.80 degrees
Positions (direct):
Be: 0.1972 0.8028 0.7500
Be: 0.8028 0.1972 0.2500
Cd: 0.1571 0.8429 0.2500
Cd: 0.8429 0.1571 0.7500
Pd: 0.5000 0.5000 0.0000
Pd: 0.5000 0.5000 0.5000
O: 0.1046 0.2387 0.4147
O: 0.1812 0.5885 0.8710
O: 0.2387 0.1046 0.9147
O: 0.4102 0.5898 0.2500
O: 0.4115 0.8188 0.6290
O: 0.5885 0.1812 0.3710
O: 0.5898 0.4102 0.7500
O: 0.7613 0.8954 0.0853
O: 0.8188 0.4115 0.1290
O: 0.8954 0.7613 0.5853

Summary:
Formation energy without anion corrections (kJ/mol of formula units): -648.4
Energy (eV/atom): -5.17

---

Record 17
Material: Pm2BeCdO5
Method: DFT, GGA-PBE
State: relaxed

Cell lengths 6.5541, 6.5541, 5.4345 Å; angles 90.00, 90.00, 90.00 degrees
Positions (direct):
Pm: 0.1736 0.3264 0.0000
Pm: 0.3264 0.8264 0.0000
Pm: 0.6736 0.1736 0.0000
Pm: 0.8264 0.6736 0.0000
Be: 0.0000 0.5000 0.5000
Be: 0.5000 0.0000 0.5000
Cd: 0.0000 0.0000 0.5000
Cd: 0.5000 0.5000 0.5000
O: 0.0000 0.0000 0.0000
O: 0.1321 0.6321 0.2741
O: 0.1321 0.6321 0.7259
O: 0.3679 0.1321 0.2741
O: 0.3679 0.1321 0.7259
O: 0.5000 0.5000 0.0000
O: 0.6321 0.8679 0.2741
O: 0.6321 0.8679 0.7259
O: 0.8679 0.3679 0.2741
O: 0.8679 0.3679 0.7259

Summary:
Formation energy without anion corrections (kJ/mol of formula units): -2064.2
Energy (eV/atom): -6.70

---

Record 18
Material: BeCdPtO5
Method: DFT, GGA-PBE
State: relaxed

Cell lengths 5.4583, 5.4583, 7.0872 Å; angles 104.67, 104.67, 107.05 degrees
Positions (direct):
Be: 0.1929 0.8071 0.7500
Be: 0.8071 0.1929 0.2500
Cd: 0.1556 0.8444 0.2500
Cd: 0.8444 0.1556 0.7500
Pt: 0.5000 0.5000 0.0000
Pt: 0.5000 0.5000 0.5000
O: 0.1158 0.2461 0.4138
O: 0.1840 0.5940 0.8743
O: 0.2461 0.1158 0.9138
O: 0.4060 0.8160 0.6257
O: 0.4103 0.5897 0.2500
O: 0.5897 0.4103 0.7500
O: 0.5940 0.1840 0.3743
O: 0.7539 0.8842 0.0862
O: 0.8160 0.4060 0.1257
O: 0.8842 0.7539 0.5862

Summary:
Formation energy without anion corrections (kJ/mol of formula units): -763.0
Energy (eV/atom): -5.42

---

Record 19
Material: Pu2BeCdO8
Method: DFT, GGA-PBE
State: relaxed

Cell lengths 4.6857, 4.6857, 6.8302 Å; angles 90.00, 90.00, 92.60 degrees
Positions (direct):
Pu: 0.0000 0.0000 0.2382
Pu: 0.0000 0.0000 0.7618
Be: 0.5000 0.5000 0.0000
Cd: 0.5000 0.5000 0.5000
O: 0.1809 0.8191 0.5000
O: 0.2060 0.7940 0.0000
O: 0.3010 0.3010 0.2113
O: 0.3010 0.3010 0.7887
O: 0.6990 0.6990 0.2113
O: 0.6990 0.6990 0.7887
O: 0.7940 0.2060 0.0000
O: 0.8191 0.1809 0.5000

Summary:
Formation energy without anion corrections (kJ/mol of formula units): -2442.8
Energy (eV/atom): -8.19

---

Record 20
Material: PuBeCdO5
Method: DFT, GGA-PBE
State: relaxed

Cell lengths 5.5342, 5.5342, 7.8120 Å; angles 105.38, 105.38, 104.48 degrees
Positions (direct):
Pu: 0.0000 0.5000 0.0000
Pu: 0.5000 0.0000 0.5000
Be: 0.0609 0.9391 0.7500
Be: 0.9391 0.0609 0.2500
Cd: 0.3990 0.6010 0.7500
Cd: 0.6010 0.3990 0.2500
O: 0.1561 0.7944 0.9042
O: 0.1678 0.2674 0.8599
O: 0.2056 0.8439 0.5958
O: 0.2674 0.1678 0.3599
O: 0.3508 0.6492 0.2500
O: 0.6492 0.3508 0.7500
O: 0.7326 0.8322 0.6401
O: 0.7944 0.1561 0.4042
O: 0.8322 0.7326 0.1401
O: 0.8439 0.2056 0.0958

Summary:
Formation energy without anion corrections (kJ/mol of formula units): -1628.9
Energy (eV/atom): -7.58